# SrTePN2

An optimized crystal structure of SrTePN2 (PBE-GGA, the Alexandria database).

Results
Raw total energy: -3.67 eV/atom
Uncorrected formation energy: 1.71 eV per atom
Distance to the lowest polymorph of the same formula: 4.53 eV/f.u.
DOS(E_F): 3.47 states/eV/cell

abc: 4.7275 4.7275 6.9739
angles: 90.00 90.00 90.00
With the nearest neighbours (Å) after each atom.
Space group P4/mmm (No. 123)
Asymmetric unit:
Sr (0.0000, 0.0000, 0.0000) (multiplicity 1)  4 N 2.36
Te (0.0000, 0.0000, 0.5000) (multiplicity 1)  4 P 3.34, 2 Sr 3.49
P (0.5000, 0.5000, 0.5000) (multiplicity 1)  4 Te 3.34
N (0.0000, 0.5000, 0.0000) (multiplicity 2)  2 Sr 2.36